Record 1
This record from OQMD describes crystalline CsNaIn4Au2 at its relaxed geometry. The functional is PBE.

Cell: 8.2327 6.1567 6.1567 Å, 45.89 90.00 90.00°
Fractional coordinates of all 8 atoms:
Au 0.0000 0.2853 0.2853
Au 0.5000 0.7243 0.7243
Cs 0.5000 0.4406 0.4406
In 0.2891 0.1468 0.1468
In 0.7109 0.1468 0.1468
In 0.1852 0.8470 0.8470
In 0.8148 0.8470 0.8470
Na 0.0000 0.5622 0.5622

Theoretical density   7.479 Mg/m³
Space group   Amm2, No. 38
Uncorrected energy   -2.654 eV/atom

Record 2
This record from OQMD describes crystalline TbHoAg2 at its relaxed geometry. The functional is PBE.

Cell: 4.7720 5.8030 5.8030 Å, 37.18 90.00 90.00°
Fractional coordinates of all 4 atoms:
Ag 0.0000 0.0807 0.0807
Ag 0.5000 0.9188 0.9188
Ho 0.0000 0.3572 0.3572
Tb 0.5000 0.6433 0.6433

Theoretical density   9.227 Mg/m³
DFT formation energy   -6.8 kcal/mol of atoms
Space group   Amm2, No. 38
Uncorrected energy   -4.011 eV/atom
Total magnetization   0.0 μB per formula unit